First-principles (PBE) data for a geometry-optimized Ca3HfPt4 structure, as listed in Alexandria via LeMat-Bulk.

```
data_Ca3HfPt4
_space_group_name_H-M_alt 'P 4/m m m'
_space_group_IT_number 123
_space_group_name_Hall '-P 4 2'
_cell_length_a 3.412
_cell_length_b 3.412
_cell_length_c 14.279
_cell_angle_alpha 90.00
_cell_angle_beta 90.00
_cell_angle_gamma 90.00
loop_
_atom_site_label
_atom_site_fract_x
_atom_site_fract_y
_atom_site_fract_z
_atom_site_occupancy
Ca1 0.000 0.000 0.000 1
Ca2 0.000 0.000 0.249 1
Hf1 0.000 0.000 0.500 1
Pt1 0.500 0.500 0.126 1
Pt2 0.500 0.500 0.398 1
```

Values from the calculation:
- Total magnetization: 0.0 μB/cell
- ΔH_f (0 K): -0.95 eV/atom
- Crystal system: tetragonal
- Theoretical density: 10.780 g cm⁻³



First-principles (PBE) data for a geometry-optimized CaHfPt2 structure, as listed in Alexandria via LeMat-Bulk.

```
data_CaHfPt2
_space_group_name_H-M_alt 'R -3 m'
_space_group_IT_number 166
_space_group_name_Hall '-R 3 2"'
_cell_length_a 3.9223
_cell_length_b 3.9223
_cell_length_c 20.4915
_cell_angle_alpha 90.00
_cell_angle_beta 90.00
_cell_angle_gamma 120.00
loop_
_atom_site_label
_atom_site_fract_x
_atom_site_fract_y
_atom_site_fract_z
_atom_site_occupancy
Ca1 0.0000 0.0000 0.0000 1
Hf1 0.0000 0.0000 0.5000 1
Pt1 0.0000 0.0000 0.2370 1
```

Values from the calculation:
- Energy relative to the lowest polymorph listed for this composition: 198 meV per atom
- Total magnetization: 0.0 μB/cell
- ΔH_f (0 K): -0.84 eV/atom
- Crystal system: trigonal
- Theoretical density: 11.107 g cm⁻³



First-principles (PBE) data for a geometry-optimized CaHfPt2 structure, as listed in Alexandria via LeMat-Bulk.

```
data_CaHfPt2
_space_group_name_H-M_alt 'F m -3 m'
_space_group_IT_number 225
_space_group_name_Hall '-F 4 2 3'
_cell_length_a 6.764
_cell_length_b 6.764
_cell_length_c 6.764
_cell_angle_alpha 90.00
_cell_angle_beta 90.00
_cell_angle_gamma 90.00
loop_
_atom_site_label
_atom_site_fract_x
_atom_site_fract_y
_atom_site_fract_z
_atom_site_occupancy
Ca1 0.000 0.000 0.000 1
Hf1 0.000 0.000 0.500 1
Pt1 0.250 0.250 0.250 1
```

Values from the calculation:
- Energy relative to the lowest polymorph listed for this composition: 162 meV per atom
- Total magnetization: 0.0 μB/cell
- ΔH_f (0 K): -0.88 eV/atom
- Crystal system: cubic
- Theoretical density: 13.066 g cm⁻³



First-principles (PBE) data for a geometry-optimized CaHf2Pt2 structure, as listed in Alexandria via LeMat-Bulk.

```
data_CaHf2Pt2
_space_group_name_H-M_alt 'P 4/m b m'
_space_group_IT_number 127
_space_group_name_Hall '-P 4 2ab'
_cell_length_a 8.030
_cell_length_b 8.030
_cell_length_c 3.163
_cell_angle_alpha 90.00
_cell_angle_beta 90.00
_cell_angle_gamma 90.00
loop_
_atom_site_label
_atom_site_fract_x
_atom_site_fract_y
_atom_site_fract_z
_atom_site_occupancy
Ca1 0.000 0.000 0.000 1
Hf1 0.146 0.354 0.000 1
Pt1 0.148 0.648 0.500 1
```

Values from the calculation:
- Energy relative to the lowest polymorph listed for this composition: 174 meV per atom
- Total magnetization: 0.0 μB/cell
- ΔH_f (0 K): -0.72 eV/atom
- Crystal system: tetragonal
- Theoretical density: 12.820 g cm⁻³



First-principles (PBE) data for a geometry-optimized CaHfScPt2 structure, as listed in Alexandria via LeMat-Bulk.

```
data_CaHfScPt2
_space_group_name_H-M_alt 'I -4 m 2'
_space_group_IT_number 119
_space_group_name_Hall 'I -4 -2'
_cell_length_a 4.526
_cell_length_b 4.526
_cell_length_c 11.136
_cell_angle_alpha 90.00
_cell_angle_beta 90.00
_cell_angle_gamma 90.00
loop_
_atom_site_label
_atom_site_fract_x
_atom_site_fract_y
_atom_site_fract_z
_atom_site_occupancy
Ca1 0.000 0.000 0.000 1
Hf1 0.000 0.500 0.250 1
Sc1 0.000 0.500 0.750 1
Pt1 0.000 0.000 0.381 1
```

Values from the calculation:
- Total magnetization: 0.0 μB/cell
- ΔH_f (0 K): -0.95 eV/atom
- Crystal system: tetragonal
- Theoretical density: 9.517 g cm⁻³



First-principles (PBE) data for a geometry-optimized Ca2HfSiPt structure, as listed in Alexandria via LeMat-Bulk.

```
data_Ca2HfSiPt
_space_group_name_H-M_alt 'P 4/m m m'
_space_group_IT_number 123
_space_group_name_Hall '-P 4 2'
_cell_length_a 5.316
_cell_length_b 5.316
_cell_length_c 5.003
_cell_angle_alpha 90.00
_cell_angle_beta 90.00
_cell_angle_gamma 90.00
loop_
_atom_site_label
_atom_site_fract_x
_atom_site_fract_y
_atom_site_fract_z
_atom_site_occupancy
Ca1 0.000 0.500 0.000 1
Hf1 0.000 0.000 0.500 1
Si1 0.000 0.000 0.000 1
Pt1 0.500 0.500 0.500 1
```

Values from the calculation:
- E_form (uncorrected): 0.23 eV/atom
- Total magnetization: 0.0 μB/cell
- Crystal system: tetragonal
- Theoretical density: 5.659 g cm⁻³



First-principles (PBE) data for a geometry-optimized Ca2HfSi3Pt4 structure, as listed in Alexandria via LeMat-Bulk.

```
data_Ca2HfSi3Pt4
_space_group_name_H-M_alt 'P -4 m 2'
_space_group_IT_number 115
_cell_length_a 4.165
_cell_length_b 4.165
_cell_length_c 10.774
_cell_angle_alpha 90.00
_cell_angle_beta 90.00
_cell_angle_gamma 90.00
loop_
_space_group_symop_operation_xyz
'x,y,z'
'y,-x,-z'
'-x,-y,z'
'-y,x,-z'
'-x,y,z'
'-y,-x,-z'
'x,-y,z'
'y,x,-z'
loop_
_atom_site_label
_atom_site_fract_x
_atom_site_fract_y
_atom_site_fract_z
_atom_site_occupancy
Ca1 0.000 0.500 0.234 1
Hf1 0.000 0.000 0.500 1
Si1 0.000 0.500 0.874 1
Si2 0.500 0.500 0.500 1
Pt1 0.000 0.000 0.000 1
Pt2 0.000 0.500 0.651 1
Pt3 0.500 0.500 0.000 1
```

Values from the calculation:
- E_form (uncorrected): -0.97 eV/atom
- Total magnetization: 0.0 μB/cell
- Crystal system: tetragonal
- Theoretical density: 9.979 g cm⁻³



First-principles (PBE) data for a geometry-optimized Ca2HfTaPt structure, as listed in Alexandria via LeMat-Bulk.

```
data_Ca2HfTaPt
_space_group_name_H-M_alt 'P 4/m m m'
_space_group_IT_number 123
_space_group_name_Hall '-P 4 2'
_cell_length_a 5.438
_cell_length_b 5.438
_cell_length_c 4.843
_cell_angle_alpha 90.00
_cell_angle_beta 90.00
_cell_angle_gamma 90.00
loop_
_atom_site_label
_atom_site_fract_x
_atom_site_fract_y
_atom_site_fract_z
_atom_site_occupancy
Ca1 0.000 0.500 0.000 1
Hf1 0.000 0.000 0.500 1
Ta1 0.500 0.500 0.000 1
Pt1 0.500 0.500 0.500 1
```

Values from the calculation:
- Total magnetization: 0.6 μB/cell
- ΔH_f (0 K): 1.17 eV/atom
- Crystal system: tetragonal
- Theoretical density: 7.357 g cm⁻³



Copy entry 3 word for word.
First-principles (PBE) data for a geometry-optimized CaHfPt2 structure, as listed in Alexandria via LeMat-Bulk.

```
data_CaHfPt2
_space_group_name_H-M_alt 'F m -3 m'
_space_group_IT_number 225
_space_group_name_Hall '-F 4 2 3'
_cell_length_a 6.764
_cell_length_b 6.764
_cell_length_c 6.764
_cell_angle_alpha 90.00
_cell_angle_beta 90.00
_cell_angle_gamma 90.00
loop_
_atom_site_label
_atom_site_fract_x
_atom_site_fract_y
_atom_site_fract_z
_atom_site_occupancy
Ca1 0.000 0.000 0.000 1
Hf1 0.000 0.000 0.500 1
Pt1 0.250 0.250 0.250 1
```

Values from the calculation:
- Energy relative to the lowest polymorph listed for this composition: 162 meV per atom
- Total magnetization: 0.0 μB/cell
- ΔH_f (0 K): -0.88 eV/atom
- Crystal system: cubic
- Theoretical density: 13.066 g cm⁻³